# SmYTlRu

A relaxed structure of SmYTlRu (GGA-PBE, the Alexandria database).

Geometry as POSCAR:
```
SmYTlRu
1.0
5.1414 0.0000 0.0000
2.5707 4.4526 0.0000
2.5707 1.4842 4.1979
Sm Tl Y Ru
1 1 1 1
direct
0.0000 0.0000 0.0000
0.2500 0.2500 0.2500
0.5000 0.5000 0.5000
0.7500 0.7500 0.7500
```

Computed properties:
SG = F-43m
D(E_F) = 2.25 states/eV/f.u.
Crystal system = cubic
Energy of formation from the pure elements = -0.221 eV/atom

# SmTm3Ru4

A relaxed structure of SmTm3Ru4 (GGA-PBE, the Alexandria database).

Geometry as POSCAR:
```
SmTm3Ru4
1.0
-2.7501 1.7846 -3.4773
-4.6105 -1.2291 -0.2686
-4.3340 6.2355 3.3436
Tm Ru Sm
3 4 1
direct
0.7518 0.7518 0.7446
0.5000 0.5000 0.5000
0.2482 0.2482 0.2554
0.6239 0.6239 0.1283
0.8740 0.8740 0.3780
0.3761 0.3761 0.8717
0.1260 0.1260 0.6220
0.0000 0.0000 0.0000
```

Computed properties:
SG = R-3m
D(E_F) = 8.19 states/eV/f.u.
Crystal system = trigonal
Energy of formation from the pure elements = -0.346 eV/atom

# SmTm3Ru2

A relaxed structure of SmTm3Ru2 (GGA-PBE, the Alexandria database).

Geometry as POSCAR:
```
SmTm3Ru2
1.0
3.3873 0.0000 0.0000
0.0000 3.3873 0.0000
0.0000 0.0000 12.2206
Ru Tm Sm
2 3 1
direct
0.5000 0.5000 0.8576
0.5000 0.5000 0.1424
0.0000 0.0000 0.2691
0.0000 0.0000 0.0000
0.0000 0.0000 0.7309
0.5000 0.5000 0.5000
```

Computed properties:
SG = P4/mmm
D(E_F) = 4.29 states/eV/f.u.
Crystal system = tetragonal
Energy of formation from the pure elements = -0.350 eV/atom

# SmTm5Ru6

A relaxed structure of SmTm5Ru6 (GGA-PBE, the Alexandria database).

Geometry as POSCAR:
```
SmTm5Ru6
1.0
4.5826 0.0193 -1.3373
-0.9269 5.9351 -3.0906
-0.0851 0.4304 8.2351
Ru Tm Sm
6 5 1
direct
0.5000 0.7468 0.0000
0.1679 0.9165 0.3358
0.8321 0.5807 0.6642
0.5000 0.2532 0.0000
0.8321 0.0835 0.6642
0.1679 0.4193 0.3358
0.6688 0.1688 0.3376
0.6665 0.6665 0.3330
0.0000 0.5000 0.0000
0.3312 0.8312 0.6624
0.3335 0.3335 0.6670
0.0000 0.0000 0.0000
```

Computed properties:
SG = Immm
D(E_F) = 12.99 states/eV/f.u.
Crystal system = orthorhombic
Energy of formation from the pure elements = -0.370 eV/atom

# Sm3TmRu8

A relaxed structure of Sm3TmRu8 (GGA-PBE, the Alexandria database).

Geometry as POSCAR:
```
Sm3TmRu8
1.0
5.1306 0.0000 1.5488
2.3315 4.5703 1.5488
-0.0201 -0.0123 9.3390
Ru Tm Sm
8 1 3
direct
0.9398 0.4356 0.6849
0.9398 0.9398 0.6849
0.1902 0.1902 0.4295
0.4356 0.9398 0.6849
0.9286 0.4398 0.1919
0.4398 0.9286 0.1919
0.6899 0.6899 0.9304
0.4398 0.4398 0.1919
0.8745 0.8745 0.3765
0.4991 0.4991 0.5027
0.9990 0.9990 0.0029
0.3740 0.3740 0.8779
```

Computed properties:
SG = R3m
D(E_F) = 15.11 states/eV/f.u.
Crystal system = trigonal
Energy of formation from the pure elements = -0.232 eV/atom

# SmTmRu2

A relaxed structure of SmTmRu2 (GGA-PBE, the Alexandria database).

Geometry as POSCAR:
```
SmTmRu2
1.0
3.4090 0.0000 0.0000
0.0000 3.4090 0.0000
0.0000 0.0000 6.8320
Ru Tm Sm
2 1 1
direct
0.0000 0.0000 0.2422
0.0000 0.0000 0.7578
0.5000 0.5000 0.0000
0.5000 0.5000 0.5000
```

Computed properties:
SG = P4/mmm
D(E_F) = 5.05 states/eV/f.u.
Crystal system = tetragonal
Energy of formation from the pure elements = -0.282 eV/atom

# SmTmRu2

A relaxed structure of SmTmRu2 (GGA-PBE, the Alexandria database).

Geometry as POSCAR:
```
SmTmRu2
1.0
-4.3678 -0.5894 1.9595
-3.8764 -0.4421 -2.8373
-2.2516 -4.2503 -0.3614
Tm Sm Ru
1 1 2
direct
0.7500 0.7500 0.7500
0.2500 0.2500 0.2500
0.4999 0.4999 0.4999
0.0001 0.0001 0.0001
```

Computed properties:
SG = Fm-3m
D(E_F) = 3.49 states/eV/f.u.
Crystal system = cubic
Energy of formation from the pure elements = -0.277 eV/atom

# SmTm5Ru3

A relaxed structure of SmTm5Ru3 (GGA-PBE, the Alexandria database).

Geometry as POSCAR:
```
SmTm5Ru3
1.0
-6.1741 4.0999 -1.4912
-5.5234 -2.3251 4.6085
-1.0444 6.7135 7.1828
Ru Tm Sm
6 10 2
direct
0.0000 0.0000 0.0000
0.3311 0.3311 0.1683
0.3416 0.3416 0.6714
0.0000 0.0000 0.5000
0.6689 0.6689 0.8317
0.6584 0.6584 0.3286
0.6963 0.3037 0.0000
0.3037 0.6963 0.0000
0.5735 0.5735 0.6278
0.4265 0.4265 0.3722
0.6388 0.0373 0.6730
0.0373 0.6388 0.6730
0.3612 0.9627 0.3270
0.2324 0.2324 0.9681
0.7676 0.7676 0.0319
0.9627 0.3612 0.3270
0.8924 0.8924 0.3027
0.1076 0.1076 0.6973
```

Computed properties:
SG = C2/m
D(E_F) = 2.60 states/eV/f.u.
Crystal system = monoclinic
Energy of formation from the pure elements = -0.227 eV/atom

Q: Which ρ values were calculated for the entries above? A: 9412; 11388; 10176; 11558; 10823; 10905; 10910; 8693, in kg/m3.